Below is a relaxed structure of Rb3Er2PtO6, with properties calculated at the PBE-GGA level.

a b c (Å): 5.8807 5.8807 6.8773
angles (deg): 99.76 99.76 117.57
With the nearest neighbours (Å) after each atom.
Atoms (fractional coordinates):
Rb: 0.1647 0.8353 0.5000  6 O 2.81-3.02
Rb: 0.8353 0.1647 0.5000  6 O 2.81-3.02
Rb: 0.5000 0.5000 0.5000  6 O 2.71-2.86
Er: 0.3358 0.6642 0.0000  6 O 2.24-2.34
Er: 0.6642 0.3358 0.0000  6 O 2.24-2.34
Pt: 0.0000 0.0000 0.0000  4 O 2.15
O: 0.9393 0.6228 0.8354  1 Pt 2.15, 2 Er 2.29-2.34
O: 0.6989 0.6989 0.2008  2 Er 2.24
O: 0.0607 0.3772 0.1646  1 Pt 2.15, 2 Er 2.29-2.34
O: 0.6228 0.9393 0.8354  1 Pt 2.15, 2 Er 2.29-2.34
O: 0.3011 0.3011 0.7992  2 Er 2.24
O: 0.3772 0.0607 0.1646  1 Pt 2.15, 2 Er 2.29-2.34

## Properties
- ΔE_f (raw): -2.000 eV/atom
- V: 16.601 Å³ per atom
- Space-group type: C2/m (12)
- Electronic total energy: -5.98 eV/atom
- Density: 7.35 g/cm³